No. 1
A relaxed structure of Be2Cu. Source: the Alexandria database, functional PBE.

Structure (POSCAR):
```
Be2Cu
1.0
-3.939 1.284 1.278
0.559 -1.655 -3.968
-1.094 -5.472 2.128
Be Cu
6 3
direct
0.500 0.500 0.822
0.500 0.000 0.822
0.000 0.500 0.822
0.000 0.500 0.178
0.500 0.000 0.178
0.500 0.500 0.178
0.000 0.000 0.000
0.333 0.667 0.500
0.667 0.333 0.500
```

Energy relative to the lowest polymorph listed for this composition: 320.9 meV per atom
Calculated formation energy: 0.17 eV per atom
Symmetry: P6/mmm
Density of states at the Fermi level: 1.61 states/eV per cell

No. 2
A relaxed structure of Be3Cu. Source: the Alexandria database, functional PBE.

Structure (POSCAR):
```
Be3Cu
1.0
3.688 0.000 0.000
1.844 3.194 0.000
1.844 1.065 3.011
Be Cu
3 1
direct
0.000 0.000 0.000
0.250 0.250 0.250
0.500 0.500 0.500
0.750 0.750 0.750
```

Calculated formation energy: -0.06 eV per atom
Symmetry: Fm-3m
Density of states at the Fermi level: 0.45 states/eV per cell

No. 3
A relaxed structure of Be3Cu. Source: the Alexandria database, functional PBE.

Structure (POSCAR):
```
Be3Cu
1.0
2.408 0.000 0.000
-1.204 2.086 0.000
0.000 0.000 7.354
Be Cu
3 1
direct
0.000 0.000 0.010
0.000 0.000 0.490
0.667 0.333 0.250
0.667 0.333 0.750
```

Calculated formation energy: 0.04 eV per atom
Symmetry: P-6m2
Density of states at the Fermi level: 1.57 states/eV per cell

No. 4
A relaxed structure of Be2Cu. Source: the Alexandria database, functional PBE.

Structure (POSCAR):
```
Be2Cu
1.0
-0.516 2.891 -1.215
-0.562 -1.297 -2.846
-5.557 -0.445 1.300
Be Cu
4 2
direct
0.000 0.000 0.000
0.500 0.500 0.000
0.500 0.000 0.275
0.000 0.500 0.725
0.500 0.000 0.682
0.000 0.500 0.318
```

Energy relative to the lowest polymorph listed for this composition: 260.6 meV per atom
Calculated formation energy: 0.11 eV per atom
Symmetry: P4/nmm
Density of states at the Fermi level: 1.33 states/eV per cell

No. 5
A relaxed structure of Be3Cu5. Source: the Alexandria database, functional PBE.

Structure (POSCAR):
```
Be3Cu5
1.0
-4.764 0.507 0.073
0.930 -1.627 -4.410
-0.356 -3.522 1.224
Be Cu
3 5
direct
0.500 0.500 0.000
0.763 0.237 0.500
0.237 0.763 0.500
0.000 0.000 0.000
0.000 0.500 0.000
0.500 0.000 0.000
0.278 0.278 0.500
0.722 0.722 0.500
```

Energy relative to the lowest polymorph listed for this composition: 26.2 meV per atom
Calculated formation energy: -0.05 eV per atom
Symmetry: Cmmm
Density of states at the Fermi level: 1.67 states/eV per cell

No. 6
A relaxed structure of Be3Cu. Source: the Alexandria database, functional PBE.

Structure (POSCAR):
```
Be3Cu
1.0
4.708 0.000 0.000
0.000 4.059 0.000
0.000 0.000 7.550
Be Cu
12 4
direct
0.124 0.917 0.750
0.624 0.583 0.250
0.376 0.417 0.750
0.876 0.083 0.250
0.629 0.260 0.001
0.129 0.240 0.999
0.871 0.760 0.499
0.371 0.740 0.501
0.371 0.740 0.999
0.871 0.760 0.001
0.129 0.240 0.501
0.629 0.260 0.499
0.607 0.917 0.750
0.107 0.583 0.250
0.893 0.417 0.750
0.393 0.083 0.250
```

Calculated formation energy: -0.01 eV per atom
Symmetry: Pnma
Density of states at the Fermi level: 4.12 states/eV per cell